Record 1
## TcIr2S2 (GGA-PBE)

Data for a relaxed TcIr2S2 crystal.

E_tot in eV/atom: -6.51
ρ in g/cm3: 11.2

```
data_TcIr2S2
_chemical_formula_sum 'Tc2 Ir4 S4'
_cell_length_a 3.915
_cell_length_b 3.915
_cell_length_c 10.567
_cell_angle_alpha 90.00
_cell_angle_beta 90.00
_cell_angle_gamma 90.00
_space_group_name_H-M_alt 'I 4/m m m'
_space_group_IT_number 139
_space_group_name_Hall '-I 4 2'
loop_
_atom_site_label
_atom_site_type_symbol
_atom_site_fract_x
_atom_site_fract_y
_atom_site_fract_z
_atom_site_occupancy
Tc1 Tc 0.000 0.000 0.000 1
Ir1 Ir 0.000 0.500 0.250 1
S1 S 0.000 0.000 0.379 1
```



Record 2
## YTcTeW2 (GGA-PBE)

Data for a relaxed YTcTeW2 crystal.

E_tot in eV/atom: -7.99
ρ in g/cm3: 9.6

```
data_YTcTeW2
_chemical_formula_sum 'Y1 Tc1 Te1 W2'
_cell_length_a 4.794
_cell_length_b 4.794
_cell_length_c 5.147
_cell_angle_alpha 90.00
_cell_angle_beta 90.00
_cell_angle_gamma 90.00
_space_group_name_H-M_alt 'P 4/m m m'
_space_group_IT_number 123
_space_group_name_Hall '-P 4 2'
loop_
_atom_site_label
_atom_site_type_symbol
_atom_site_fract_x
_atom_site_fract_y
_atom_site_fract_z
_atom_site_occupancy
Y1 Y 0.000 0.000 0.000 1
Tc1 Tc 0.500 0.500 0.500 1
Te1 Te 0.500 0.500 0.000 1
W1 W 0.000 0.500 0.500 1
```



Record 3
## Ca2NdCuS4 (GGA-PBE)

Data for a relaxed Ca2NdCuS4 crystal.

E_tot in eV/atom: -5.40
ρ in g/cm3: 4.0

```
data_Ca2NdCuS4
_chemical_formula_sum 'Ca8 Nd4 Cu4 S16'
_cell_length_a 3.923
_cell_length_b 12.899
_cell_length_c 13.805
_cell_angle_alpha 90.00
_cell_angle_beta 90.00
_cell_angle_gamma 90.00
_space_group_name_H-M_alt 'C m c m'
_space_group_IT_number 63
_space_group_name_Hall '-C 2c 2'
loop_
_atom_site_label
_atom_site_type_symbol
_atom_site_fract_x
_atom_site_fract_y
_atom_site_fract_z
_atom_site_occupancy
Ca1 Ca 0.000 0.131 0.060 1
Nd1 Nd 0.000 0.384 0.250 1
Cu1 Cu 0.000 0.349 0.750 1
S1 S 0.000 0.048 0.250 1
S2 S 0.000 0.222 0.628 1
S3 S 0.000 0.500 0.000 1
```



| no. | E_form (uncorrected) (kJ per mole of atoms) |
| --- | --- |
| 1 | 73.6 |
| 2 | 114.0 |
| 3 | -166.7 |